1.
The following is a DFT calculation (PBE) of an optimized crystal structure of AlSb2.

Values from the calculation:
Space group   No. 141

POSCAR file:
```
AlSb2
1.0
-1.834 1.834 12.083
1.834 -1.834 12.083
1.834 1.834 -12.083
Al Sb
2 4
direct
0.000 0.000 0.000 Al
0.750 0.250 0.500 Al
0.311 0.811 0.500 Sb
0.561 0.561 0.000 Sb
0.189 0.689 0.500 Sb
0.439 0.439 0.000 Sb
```

---

2.
The following is a DFT calculation (PBE) of an optimized crystal structure of Al4Sb5.

Values from the calculation:
Offset from the most stable computed form   0.00 kcal/mol of atoms
Space group   No. 193

POSCAR file:
```
Al4Sb5
1.0
-4.511 -7.077 2.741
5.438 -0.642 -6.925
4.613 -1.484 3.760
Sb Al
10 8
direct
0.291 0.000 0.750 Sb
0.333 0.667 0.000 Sb
0.709 0.000 0.250 Sb
0.667 0.333 0.500 Sb
0.000 0.709 0.250 Sb
0.000 0.291 0.750 Sb
0.709 0.709 0.750 Sb
0.333 0.667 0.500 Sb
0.291 0.291 0.250 Sb
0.667 0.333 0.000 Sb
0.000 0.634 0.750 Al
0.634 0.634 0.250 Al
0.634 0.000 0.750 Al
0.366 0.000 0.250 Al
0.000 0.000 0.000 Al
0.366 0.366 0.750 Al
0.000 0.000 0.500 Al
0.000 0.366 0.250 Al
```

---

3.
The following is a DFT calculation (PBE) of an optimized crystal structure of AlSb2.

Values from the calculation:
Space group   No. 2

POSCAR file:
```
AlSb2
1.0
-0.886 -0.816 -2.854
5.568 -2.397 -2.353
0.234 -8.240 1.099
Sb Al
4 2
direct
0.594 0.981 0.714 Sb
0.406 0.019 0.286 Sb
0.479 0.663 0.094 Sb
0.521 0.337 0.906 Sb
0.315 0.368 0.433 Al
0.685 0.632 0.567 Al
```

---

4.
The following is a DFT calculation (PBE) of an optimized crystal structure of AlSb5.

Values from the calculation:
Offset from the most stable computed form   2.94 kcal/mol of atoms
Space group   No. 12

POSCAR file:
```
AlSb5
1.0
1.717 6.076 0.048
-1.717 6.076 0.048
0.000 2.573 7.659
Sb Al
5 1
direct
0.670 0.670 0.657 Sb
0.386 0.386 0.232 Sb
0.028 0.028 0.445 Sb
0.672 0.672 0.097 Sb
0.384 0.384 0.792 Sb
0.028 0.028 0.944 Al
```

---

5.
The following is a DFT calculation (PBE) of an optimized crystal structure of AlSb7.

Values from the calculation:
Space group   No. 225

POSCAR file:
```
AlSb7
1.0
2.289 -1.466 6.127
-4.296 -1.614 4.885
-0.285 -6.302 2.265
Sb Al
7 1
direct
0.500 0.000 0.000 Sb
0.000 0.500 0.500 Sb
0.500 0.000 0.500 Sb
0.500 0.500 0.000 Sb
0.500 0.500 0.500 Sb
0.000 0.000 0.500 Sb
0.000 0.500 0.000 Sb
0.000 0.000 0.000 Al
```

---

6.
The following is a DFT calculation (PBE) of an optimized crystal structure of AlSb5.

Values from the calculation:
Offset from the most stable computed form   2.37 kcal/mol of atoms
Space group   No. 65

POSCAR file:
```
AlSb5
1.0
1.951 -9.257 0.000
1.951 9.257 0.000
0.000 0.000 4.649
Sb Al
5 1
direct
0.879 0.121 0.000 Sb
0.690 0.310 0.500 Sb
0.121 0.879 0.000 Sb
0.000 0.000 0.500 Sb
0.310 0.690 0.500 Sb
0.500 0.500 0.000 Al
```

---

7.
The following is a DFT calculation (PBE) of an optimized crystal structure of Al7Sb6.

Values from the calculation:
Space group   No. 166

POSCAR file:
```
Al7Sb6
1.0
11.461 0.054 0.033
10.006 5.589 0.033
10.006 2.630 4.931
Al Sb
7 6
direct
0.423 0.423 0.895 Al
0.500 0.500 0.500 Al
0.105 0.577 0.577 Al
0.577 0.577 0.105 Al
0.423 0.895 0.423 Al
0.577 0.105 0.577 Al
0.895 0.423 0.423 Al
0.819 0.819 0.819 Sb
0.683 0.683 0.683 Sb
0.317 0.317 0.317 Sb
0.181 0.181 0.181 Sb
0.940 0.940 0.940 Sb
0.060 0.060 0.060 Sb
```

---

8.
The following is a DFT calculation (PBE) of an optimized crystal structure of AlSb2.

Values from the calculation:
Space group   No. 62

POSCAR file:
```
AlSb2
1.0
5.232 0.000 0.000
0.000 6.003 0.000
0.000 0.000 9.632
Sb Al
8 4
direct
0.750 0.550 0.325 Sb
0.750 0.793 0.604 Sb
0.250 0.950 0.825 Sb
0.250 0.707 0.104 Sb
0.250 0.207 0.396 Sb
0.750 0.293 0.896 Sb
0.750 0.050 0.175 Sb
0.250 0.450 0.675 Sb
0.750 0.769 0.925 Al
0.250 0.731 0.425 Al
0.750 0.269 0.575 Al
0.250 0.231 0.075 Al
```

---

Number 1: calculated total energy -3.832 eV per atom, M_tot 0.0 μB/cell, formation energy without anion corrections 0.1642 eV/atom. Number 2: calculated total energy -3.737 eV per atom, M_tot 0.0 μB/cell, formation energy without anion corrections 0.2163 eV/atom. Number 3: calculated total energy -3.888 eV per atom, M_tot 0.0 μB/cell, formation energy without anion corrections 0.1074 eV/atom. Number 4: calculated total energy -3.850 eV per atom, M_tot 0.0 μB/cell, formation energy without anion corrections 0.2091 eV/atom. Number 5: calculated total energy -3.754 eV per atom, M_tot 0.0 μB/cell, formation energy without anion corrections 0.3212 eV/atom. Number 6: calculated total energy -3.874 eV per atom, M_tot 0.0 μB/cell, formation energy without anion corrections 0.1846 eV/atom. Number 7: calculated total energy -3.751 eV per atom, M_tot 0.0 μB/cell, formation energy without anion corrections 0.1672 eV/atom. Number 8: calculated total energy -3.811 eV per atom, M_tot 0.0 μB/cell, formation energy without anion corrections 0.1843 eV/atom.